# La3Cd6In2Ag

A relaxed La3Cd6In2Ag crystal (PBE, Alexandria via LeMat-Bulk).

```
data_La3Cd6In2Ag
_cell_length_a 5.9212
_cell_length_b 5.9212
_cell_length_c 10.6769
_cell_angle_alpha 90.00
_cell_angle_beta 90.00
_cell_angle_gamma 120.00
_space_group_name_H-M_alt 'P -3 m 1'
_space_group_IT_number 164
_space_group_name_Hall '-P 3 2"'
loop_
_atom_site_label
_atom_site_type_symbol
_atom_site_fract_x
_atom_site_fract_y
_atom_site_fract_z
La1 La 0.0000 0.0000 0.0000
La2 La 0.3333 0.6667 0.5690
Cd1 Cd 0.1682 0.3363 0.2730
In1 In 0.3333 0.6667 0.9047
Ag1 Ag 0.0000 0.0000 0.5000
```

energy: -0.190 Ry per atom